# 1
# SrMg2In | Alexandria | PBE | optimized geometry
data_SrMg2In
_chemical_formula_sum 'Sr1 Mg2 In1'
_cell_length_a 3.756
_cell_length_b 5.280
_cell_length_c 6.115
_cell_angle_alpha 90.00
_cell_angle_beta 92.55
_cell_angle_gamma 90.00
_space_group_name_H-M_alt 'P 1 2/m 1'
_space_group_IT_number 10
_space_group_name_Hall '-P 2y'
loop_
_atom_site_label
_atom_site_fract_x
_atom_site_fract_y
_atom_site_fract_z
Sr1 0.000 0.000 0.000
Mg1 0.464 0.500 0.746
In1 0.500 0.000 0.500
# * total magnetization: 0.00 μB/f.u.
# * DFT total energy: -2.003 eV/atom

=====

# 2
# Na2MgTl5 | Alexandria | PBE | optimized geometry
data_Na2MgTl5
_chemical_formula_sum 'Na4 Mg2 Tl10'
_cell_length_a 5.387
_cell_length_b 5.387
_cell_length_c 15.658
_cell_angle_alpha 90.00
_cell_angle_beta 90.00
_cell_angle_gamma 90.00
_space_group_name_H-M_alt 'I 4/m m m'
_space_group_IT_number 139
_space_group_name_Hall '-I 4 2'
loop_
_atom_site_label
_atom_site_fract_x
_atom_site_fract_y
_atom_site_fract_z
Na1 0.000 0.000 0.248
Mg1 0.000 0.000 0.000
Tl1 0.000 0.000 0.500
Tl2 0.000 0.500 0.120
# * relative energy among the computed polymorphs: 0.00 kcal/mol of atoms
# * total magnetization: 0.00 μB/f.u.

=====

# 3
# La2YSc | Alexandria | PBE | optimized geometry
data_La2YSc
_chemical_formula_sum 'La4 Y2 Sc2'
_cell_length_a 3.879
_cell_length_b 5.792
_cell_length_c 11.710
_cell_angle_alpha 90.00
_cell_angle_beta 90.00
_cell_angle_gamma 90.00
_space_group_name_H-M_alt 'I m m 2'
_space_group_IT_number 44
_space_group_name_Hall 'I 2 -2'
loop_
_atom_site_label
_atom_site_fract_x
_atom_site_fract_y
_atom_site_fract_z
La1 0.000 0.000 0.000
La2 0.000 0.500 0.227
Y1 0.000 0.000 0.461
Sc1 0.000 0.500 0.734
# * relative energy among the computed polymorphs: 1.09 kcal/mol of atoms
# * total magnetization: 0.00 μB/f.u.